DFT (GGA+U) results for a relaxed structure of FePO3.

The structure in POSCAR format:
```
FePO3
1.0
3.5231 0.0000 0.0000
0.0000 3.5231 0.0000
0.0000 0.0000 3.5231
O P Fe
3 1 1
Cartesian
0.0000 0.0000 1.7616
1.7616 0.0000 0.0000
0.0000 1.7616 0.0000
0.0000 0.0000 0.0000
1.7616 1.7616 1.7616
```

Summary:
The calculated density is 5.1 Mg/m³. Its electronic total energy is -5.989 eV/atom.